(1)
DFT (SCAN) results for a crystal of CdSi2Te relaxed with PBEsol.

Computed properties:
Spin magnetization, μB per cell: 0.000
Total DFT energy (no corrections), eV/atom: -21.6338
Relative energy among the computed polymorphs, kJ/mol of atoms: 0.0

Cell lengths 3.596, 3.596, 7.038 Å; angles 90.00, 90.00, 90.00 degrees
Space group P4mm (No. 99)
Unique sites:
Cd 0.000 0.000 0.000 (multiplicity 1)
Si 0.000 0.000 0.361 (multiplicity 1)
Si 0.500 0.500 0.413 (multiplicity 1)
Te 0.500 0.500 0.780 (multiplicity 1)

(2)
DFT (SCAN) results for a crystal of Cd2SiTe relaxed with PBEsol.

Computed properties:
Spin magnetization, μB per cell: 0.000
Total DFT energy (no corrections), eV/atom: -26.5647
Relative energy among the computed polymorphs, kJ/mol of atoms: 23.0

Cell lengths 4.774, 4.774, 3.940 Å; angles 90.00, 90.00, 90.00 degrees
Space group P4/mmm (No. 123)
Unique sites:
Cd 0.000 0.500 0.000 (multiplicity 2)
Si 0.000 0.000 0.500 (multiplicity 1)
Te 0.500 0.500 0.500 (multiplicity 1)

(3)
DFT (SCAN) results for a crystal of CdSiTe2 relaxed with PBEsol.

Computed properties:
Spin magnetization, μB per cell: 0.000
Total DFT energy (no corrections), eV/atom: -28.5211

Cell lengths 3.807, 3.897, 13.820 Å; angles 90.00, 90.00, 90.00 degrees
Space group Imm2 (No. 44)
Unique sites:
Cd 0.000 0.000 0.000 (multiplicity 2)
Si 0.000 0.500 0.751 (multiplicity 2)
Te 0.000 0.000 0.404 (multiplicity 2)
Te 0.000 0.500 0.169 (multiplicity 2)

(4)
DFT (SCAN) results for a crystal of Cd2SiTe relaxed with PBEsol.

Computed properties:
Spin magnetization, μB per cell: 0.000
Total DFT energy (no corrections), eV/atom: -26.8034
Relative energy among the computed polymorphs, kJ/mol of atoms: 0.0

Cell lengths 2.944, 3.841, 8.007 Å; angles 90.00, 90.00, 90.00 degrees
Space group Pmmm (No. 47)
Unique sites:
Cd 0.000 0.000 0.207 (multiplicity 2)
Si 0.500 0.500 0.000 (multiplicity 1)
Te 0.000 0.500 0.500 (multiplicity 1)

(5)
DFT (SCAN) results for a crystal of Cd2SiTe relaxed with PBEsol.

Computed properties:
Spin magnetization, μB per cell: 0.000
Total DFT energy (no corrections), eV/atom: -26.6043
Relative energy among the computed polymorphs, kJ/mol of atoms: 19.2

Cell lengths 3.801, 4.532, 5.205 Å; angles 90.00, 90.00, 90.00 degrees
Space group Pmmm (No. 47)
Unique sites:
Cd 0.000 0.000 0.000 (multiplicity 1)
Cd 0.500 0.500 0.000 (multiplicity 1)
Si 0.000 0.500 0.500 (multiplicity 1)
Te 0.500 0.000 0.500 (multiplicity 1)

(6)
DFT (SCAN) results for a crystal of CdSi2Te relaxed with PBEsol.

Computed properties:
Spin magnetization, μB per cell: 0.000
Total DFT energy (no corrections), eV/atom: -21.2153
Relative energy among the computed polymorphs, kJ/mol of atoms: 40.4

Cell lengths 2.977, 2.977, 9.267 Å; angles 90.00, 90.00, 90.00 degrees
Space group P4/mmm (No. 123)
Unique sites:
Cd 0.000 0.000 0.000 (multiplicity 1)
Si 0.500 0.500 0.223 (multiplicity 2)
Te 0.000 0.000 0.500 (multiplicity 1)

(7)
DFT (SCAN) results for a crystal of CdSi2Te relaxed with PBEsol.

Computed properties:
Spin magnetization, μB per cell: 0.000
Total DFT energy (no corrections), eV/atom: -21.4801
Relative energy among the computed polymorphs, kJ/mol of atoms: 14.8

Cell lengths 9.904, 3.567, 6.760 Å; angles 90.00, 127.75, 90.00 degrees
Space group C2/m (No. 12)
Unique sites:
Cd 0.000 0.000 0.000 (multiplicity 2)
Si 0.240 0.000 0.863 (multiplicity 4)
Te 0.000 0.500 0.500 (multiplicity 2)

(8)
DFT (SCAN) results for a crystal of CdSi2Te relaxed with PBEsol.

Computed properties:
Spin magnetization, μB per cell: 0.000
Total DFT energy (no corrections), eV/atom: -21.2453
Relative energy among the computed polymorphs, kJ/mol of atoms: 37.5

Cell lengths 6.259, 7.431, 3.513 Å; angles 90.00, 90.00, 90.00 degrees
Space group Cmmm (No. 65)
Unique sites:
Cd 0.000 0.000 0.000 (multiplicity 2)
Si 0.250 0.250 0.500 (multiplicity 4)
Te 0.000 0.500 0.000 (multiplicity 2)

Copy entry 5 word for word.
DFT (SCAN) results for a crystal of Cd2SiTe relaxed with PBEsol.

Computed properties:
Spin magnetization, μB per cell: 0.000
Total DFT energy (no corrections), eV/atom: -26.6043
Relative energy among the computed polymorphs, kJ/mol of atoms: 19.2

Cell lengths 3.801, 4.532, 5.205 Å; angles 90.00, 90.00, 90.00 degrees
Space group Pmmm (No. 47)
Unique sites:
Cd 0.000 0.000 0.000 (multiplicity 1)
Cd 0.500 0.500 0.000 (multiplicity 1)
Si 0.000 0.500 0.500 (multiplicity 1)
Te 0.500 0.000 0.500 (multiplicity 1)